No. 1
Compound: Rb2TeSe
Source: Alexandria
Functional: PBE
Structure: relaxed

Computed properties:
ΔE to the lowest computed polymorph, meV per atom: 216
DOS at the Fermi energy, states/eV per cell: 1.2
V, A^3/atom: 55.99

Unit cell a=12.403 b=12.403 c=9.241 alpha=47.85 beta=47.85 gamma=90.00
Sites, in units of the cell vectors:
Te1 0.000 0.000 0.000
Te2 0.750 0.250 0.500
Rb1 0.437 0.125 0.250
Rb2 0.375 0.563 0.750
Rb3 0.313 0.625 0.250
Rb4 0.875 0.687 0.750
Se1 0.250 0.750 0.500
Se2 0.500 0.500 0.000

---

No. 2
Compound: Rb2Te4Se5
Source: Alexandria
Functional: PBE
Structure: relaxed

Computed properties:
DOS at the Fermi energy, states/eV per cell: 3.1
V, A^3/atom: 35.87
Total energy, eV/atom: -3.25

Unit cell a=14.766 b=6.535 c=4.430 alpha=68.92 beta=98.39 gamma=93.71
Sites, in units of the cell vectors:
Se1 0.500 0.001 0.998
Se2 0.085 0.187 0.182
Se3 0.202 0.712 0.069
Se4 0.915 0.811 0.818
Se5 0.798 0.288 0.932
Rb1 0.716 0.742 0.222
Rb2 0.284 0.259 0.780
Te1 0.919 0.220 0.634
Te2 0.495 0.675 0.650
Te3 0.505 0.328 0.347
Te4 0.081 0.778 0.367

---

No. 3
Compound: RbTeSe2
Source: Alexandria
Functional: PBE
Structure: relaxed

Computed properties:
DOS at the Fermi energy, states/eV per cell: 2.4
V, A^3/atom: 44.67
Total energy, eV/atom: -3.14

Unit cell a=6.896 b=6.896 c=8.959 alpha=67.36 beta=67.36 gamma=90.00
Sites, in units of the cell vectors:
Se1 0.875 0.976 0.750
Se2 0.726 0.125 0.250
Se3 0.375 0.274 0.750
Se4 0.024 0.625 0.250
Te1 0.000 0.000 0.000
Te2 0.750 0.250 0.500
Rb1 0.500 0.500 0.000
Rb2 0.250 0.750 0.500

---

No. 4
Compound: Rb8Te2Se
Source: Alexandria
Functional: PBE
Structure: relaxed

Computed properties:
DOS at the Fermi energy, states/eV per cell: 2.6
V, A^3/atom: 56.76
Total energy, eV/atom: -2.38

Unit cell a=6.009 b=10.608 c=10.401 alpha=80.11 beta=106.79 gamma=90.00
Sites, in units of the cell vectors:
Rb1 0.441 0.708 0.882
Rb2 0.064 0.836 0.128
Rb3 0.187 0.441 0.374
Rb4 0.685 0.937 0.370
Rb5 0.315 0.063 0.630
Rb6 0.936 0.164 0.872
Rb7 0.559 0.292 0.118
Rb8 0.813 0.559 0.626
Se1 0.500 0.000 0.000
Te1 0.251 0.752 0.502
Te2 0.749 0.248 0.498